Version i
Material: TbIrOs
Method: DFT, PBE
State: relaxed

Cell: 8.919 5.302 5.302 Å, 60.55 90.00 90.00°
Positions (direct):
Tb  0.181  0.000  0.000
Tb  0.316  0.333  0.333
Tb  0.684  0.333  0.333
Tb  0.819  0.000  0.000
Ir  0.000  0.010  0.501
Ir  0.000  0.501  0.010
Ir  0.249  0.664  0.664
Ir  0.751  0.664  0.664
Os  0.000  0.498  0.498
Os  0.500  0.327  0.837
Os  0.500  0.837  0.327
Os  0.500  0.841  0.841

Version ii
Material: TbIrOs
Method: DFT, PBE
State: relaxed

Cell: 5.398 5.398 5.398 Å, 122.68 119.23 88.39°
Positions (direct):
Tb  0.373  0.123  0.250
Tb  0.627  0.877  0.750
Ir  0.000  0.500  0.500
Ir  0.500  0.500  0.000
Os  0.000  0.000  0.500
Os  0.000  0.500  0.000

Last place for stability: version ii

Version i
Material: TcIrOs3
Method: DFT, PBE
State: relaxed

Cell: 7.032 4.774 9.341 Å, 90.00 113.87 90.00°
Positions (direct):
Tc  0.149  0.166  0.100
Tc  0.149  0.334  0.600
Tc  0.851  0.666  0.400
Tc  0.851  0.834  0.900
Ir  0.250  0.665  0.000
Ir  0.250  0.835  0.500
Ir  0.750  0.165  0.500
Ir  0.750  0.335  0.000
Os  0.049  0.668  0.200
Os  0.049  0.832  0.700
Os  0.350  0.166  0.897
Os  0.350  0.334  0.397
Os  0.449  0.669  0.800
Os  0.449  0.831  0.300
Os  0.551  0.169  0.700
Os  0.551  0.331  0.200
Os  0.650  0.666  0.603
Os  0.650  0.834  0.103
Os  0.951  0.168  0.300
Os  0.951  0.332  0.800

Version ii
Material: TcIrOs3
Method: DFT, PBE
State: relaxed

Cell: 4.588 4.588 4.588 Å, 90.00 90.00 90.00°
Positions (direct):
Tc  0.000  0.000  0.000
Ir  0.500  0.500  0.500
Os  0.000  0.000  0.500
Os  0.000  0.500  0.000
Os  0.500  0.000  0.000

Last place for stability: version ii

Version i
Material: Tc2Ir2Os
Method: DFT, PBE
State: relaxed

Cell: 6.902 6.902 6.902 Å, 150.55 150.55 42.14°
Positions (direct):
Tc  0.250  0.750  0.500
Tc  0.750  0.250  0.500
Ir  0.097  0.097  0.000
Ir  0.903  0.903  0.000
Os  0.500  0.500  0.000

Version ii
Material: Tc2Ir2Os
Method: DFT, PBE
State: relaxed

Cell: 7.422 7.422 2.749 Å, 90.00 90.00 90.00°
Positions (direct):
Tc  0.172  0.328  0.000
Tc  0.328  0.828  0.000
Tc  0.672  0.172  0.000
Tc  0.828  0.672  0.000
Ir  0.125  0.625  0.500
Ir  0.375  0.125  0.500
Ir  0.625  0.875  0.500
Ir  0.875  0.375  0.500
Os  0.000  0.000  0.500
Os  0.500  0.500  0.500

Version iii
Material: Tc2Ir2Os
Method: DFT, PBE
State: relaxed

Cell: 7.436 7.436 2.745 Å, 90.00 90.00 90.00°
Positions (direct):
Tc  0.122  0.378  0.000
Tc  0.378  0.878  0.000
Tc  0.622  0.122  0.000
Tc  0.878  0.622  0.000
Ir  0.173  0.673  0.500
Ir  0.327  0.173  0.500
Ir  0.673  0.827  0.500
Ir  0.827  0.327  0.500
Os  0.000  0.000  0.000
Os  0.500  0.500  0.000

Last place for stability: version i

Version i
Material: Tc2Ir6Os
Method: DFT, PBE
State: relaxed

Cell: 6.122 6.122 6.109 Å, 107.45 107.45 36.84°
Positions (direct):
Tc  0.055  0.055  0.333
Tc  0.945  0.945  0.667
Ir  0.163  0.163  0.002
Ir  0.281  0.281  0.667
Ir  0.392  0.392  0.335
Ir  0.608  0.608  0.665
Ir  0.719  0.719  0.333
Ir  0.837  0.837  0.998
Os  0.500  0.500  0.000

Version ii
Material: Tc2Ir6Os
Method: DFT, PBE
State: relaxed

Cell: 6.907 6.907 6.907 Å, 44.80 44.80 44.80°
Positions (direct):
Tc  0.000  0.000  0.000
Tc  0.122  0.122  0.122
Ir  0.153  0.671  0.671
Ir  0.456  0.456  0.940
Ir  0.456  0.940  0.456
Ir  0.671  0.153  0.671
Ir  0.671  0.671  0.153
Ir  0.940  0.456  0.456
Os  0.389  0.389  0.389

Last place for stability: version ii

Version i
Material: TeIr2Os2
Method: DFT, PBE
State: relaxed

Cell: 7.760 7.760 2.792 Å, 90.00 90.00 90.00°
Positions (direct):
Te  0.000  0.000  0.000
Te  0.500  0.500  0.000
Ir  0.174  0.326  0.000
Ir  0.326  0.826  0.000
Ir  0.674  0.174  0.000
Ir  0.826  0.674  0.000
Os  0.119  0.619  0.500
Os  0.381  0.119  0.500
Os  0.619  0.881  0.500
Os  0.881  0.381  0.500

Version ii
Material: TeIr2Os2
Method: DFT, PBE
State: relaxed

Cell: 7.033 7.033 7.033 Å, 149.83 149.83 43.19°
Positions (direct):
Te  0.000  0.000  0.000
Ir  0.397  0.397  0.000
Ir  0.603  0.603  0.000
Os  0.250  0.750  0.500
Os  0.750  0.250  0.500

Last place for stability: version ii

Version i
Material: Ti4IrOs
Method: DFT, PBE
State: relaxed

Cell: 5.307 5.307 6.180 Å, 106.96 106.96 33.87°
Positions (direct):
Ti  0.160  0.160  0.327
Ti  0.160  0.160  0.833
Ti  0.840  0.840  0.167
Ti  0.840  0.840  0.673
Ir  0.500  0.500  0.500
Os  0.500  0.500  0.000

Version ii
Material: Ti4IrOs
Method: DFT, PBE
State: relaxed

Cell: 4.280 4.280 6.029 Å, 90.00 90.00 90.00°
Positions (direct):
Ti  0.000  0.500  0.248
Ti  0.000  0.500  0.752
Ti  0.500  0.000  0.248
Ti  0.500  0.000  0.752
Ir  0.000  0.000  0.500
Os  0.500  0.500  0.000

Last place for stability: version ii

Version i
Material: TiIr2Os
Method: DFT, PBE
State: relaxed

Cell: 3.891 3.891 3.848 Å, 90.00 90.00 90.00°
Positions (direct):
Ti  0.000  0.000  0.000
Ir  0.000  0.500  0.500
Ir  0.500  0.000  0.500
Os  0.500  0.500  0.000

Version ii
Material: TiIr2Os
Method: DFT, PBE
State: relaxed

Cell: 4.410 4.410 4.410 Å, 60.00 60.00 60.00°
Positions (direct):
Ti  0.000  0.000  0.000
Ir  0.250  0.250  0.250
Ir  0.750  0.750  0.750
Os  0.500  0.500  0.500

Last place for stability: version ii

Version i
Material: TiIrOs3
Method: DFT, PBE
State: relaxed

Cell: 4.680 4.680 4.680 Å, 90.00 90.00 90.00°
Positions (direct):
Ti  0.000  0.000  0.000
Ir  0.500  0.500  0.500
Os  0.000  0.500  0.500
Os  0.500  0.000  0.500
Os  0.500  0.500  0.000

Version ii
Material: TiIrOs3
Method: DFT, PBE
State: relaxed

Cell: 4.452 4.452 4.452 Å, 90.00 90.00 90.00°
Positions (direct):
Ti  0.000  0.000  0.000
Ir  0.500  0.500  0.500
Os  0.000  0.000  0.500
Os  0.000  0.500  0.000
Os  0.500  0.000  0.000

Last place for stability: version i

Version i
Material: Tm8Ir2Os
Method: DFT, PBE
State: relaxed

Cell: 7.470 7.470 5.699 Å, 100.07 100.07 112.25°
Positions (direct):
Tm  0.000  0.000  0.000
Tm  0.027  0.282  0.600
Tm  0.143  0.576  0.184
Tm  0.282  0.027  0.600
Tm  0.428  0.684  0.785
Tm  0.576  0.143  0.184
Tm  0.684  0.428  0.785
Tm  0.716  0.716  0.368
Ir  0.039  0.665  0.682
Ir  0.665  0.039  0.682
Os  0.360  0.360  0.044

Version ii
Material: Tm8Ir2Os
Method: DFT, PBE
State: relaxed

Cell: 8.851 8.851 6.763 Å, 107.13 107.13 31.61°
Positions (direct):
Tm  0.031  0.031  0.295
Tm  0.203  0.203  0.809
Tm  0.333  0.333  0.539
Tm  0.404  0.404  0.051
Tm  0.596  0.596  0.949
Tm  0.667  0.667  0.461
Tm  0.797  0.797  0.191
Tm  0.969  0.969  0.705
Ir  0.186  0.186  0.199
Ir  0.814  0.814  0.801
Os  0.500  0.500  0.500

Last place for stability: version i

Version i
Material: TmIrOs
Method: DFT, PBE
State: relaxed

Cell: 6.761 6.761 4.193 Å, 90.00 90.00 120.00°
Positions (direct):
Tm  0.000  0.408  0.000
Tm  0.408  0.000  0.000
Tm  0.592  0.592  0.000
Ir  0.000  0.000  0.000
Ir  0.333  0.667  0.500
Ir  0.667  0.333  0.500
Os  0.000  0.756  0.500
Os  0.244  0.244  0.500
Os  0.756  0.000  0.500

Version ii
Material: TmIrOs
Method: DFT, PBE
State: relaxed

Cell: 5.355 5.355 5.355 Å, 122.53 119.34 88.41°
Positions (direct):
Tm  0.372  0.122  0.250
Tm  0.628  0.878  0.750
Ir  0.000  0.500  0.500
Ir  0.500  0.500  0.000
Os  0.000  0.000  0.500
Os  0.000  0.500  0.000

Last place for stability: version i

Version i
Material: Tm8IrOs2
Method: DFT, PBE
State: relaxed

Cell: 7.464 7.464 5.694 Å, 100.18 100.18 111.93°
Positions (direct):
Tm  0.000  0.000  0.000
Tm  0.033  0.292  0.590
Tm  0.144  0.579  0.191
Tm  0.292  0.033  0.590
Tm  0.438  0.699  0.778
Tm  0.579  0.144  0.191
Tm  0.699  0.438  0.778
Tm  0.723  0.723  0.380
Ir  0.359  0.359  0.331
Os  0.054  0.679  0.690
Os  0.679  0.054  0.690

Version ii
Material: Tm8IrOs2
Method: DFT, PBE
State: relaxed

Cell: 8.934 8.934 6.828 Å, 107.16 107.16 30.67°
Positions (direct):
Tm  0.031  0.031  0.292
Tm  0.206  0.206  0.812
Tm  0.332  0.332  0.539
Tm  0.403  0.403  0.044
Tm  0.597  0.597  0.956
Tm  0.668  0.668  0.461
Tm  0.794  0.794  0.188
Tm  0.969  0.969  0.708
Ir  0.500  0.500  0.500
Os  0.184  0.184  0.198
Os  0.816  0.816  0.802

Last place for stability: version i